A geometry-optimized GdPa2Ge structure, computed with GGA-PBE.

Cell: 4.3486 4.3486 4.9718 Å, 90.00 90.00 90.00°
With the nearest neighbours (Å) after each atom.
Atoms (fractional coordinates):
Gd1 0.0000 0.0000 0.0000  4 Ge 3.07, 8 Pa 3.30
Pa1 0.0000 0.5000 0.5000  4 Pa 3.07, 4 Ge 3.30, 4 Gd 3.30
Pa2 0.5000 0.0000 0.5000  4 Pa 3.07, 4 Ge 3.30, 4 Gd 3.30
Ge1 0.5000 0.5000 0.0000  4 Gd 3.07, 8 Pa 3.30

Computed properties:
**Excess energy over the best structure of this formula in the dataset**: 0.000 eV per atom
**Formation energy from the elements**: -0.199 eV per atom

---

A geometry-optimized GdPa2Ge structure, computed with GGA-PBE.

Cell: 3.9309 3.9309 6.7183 Å, 90.00 90.00 90.00°
With the nearest neighbours (Å) after each atom.
Atoms (fractional coordinates):
Gd1 0.0000 0.0000 0.0000  2 Ge 3.36, 8 Pa 3.45
Pa1 0.5000 0.5000 0.3049  1 Pa 2.62
Pa2 0.5000 0.5000 0.6951  1 Pa 2.62
Ge1 0.0000 0.0000 0.5000  8 Pa 3.07, 2 Gd 3.36

Computed properties:
**Excess energy over the best structure of this formula in the dataset**: 0.097 eV per atom
**Formation energy from the elements**: -0.102 eV per atom

---

A geometry-optimized GdPaGe2 structure, computed with GGA-PBE.

Cell: 7.1403 7.1403 7.1403 Å, 90.00 90.00 90.00°
With the nearest neighbours (Å) after each atom.
Atoms (fractional coordinates):
Gd1 0.0000 0.0000 0.0000  8 Ge 3.09
Gd2 0.0000 0.5000 0.5000  8 Ge 3.09
Gd3 0.5000 0.0000 0.5000  8 Ge 3.09
Gd4 0.5000 0.5000 0.0000  8 Ge 3.09
Pa1 0.0000 0.0000 0.5000  8 Ge 3.09
Pa2 0.0000 0.5000 0.0000  8 Ge 3.09
Pa3 0.5000 0.0000 0.0000  8 Ge 3.09
Pa4 0.5000 0.5000 0.5000  8 Ge 3.09
Ge1 0.2500 0.2500 0.2500  4 Gd 3.09, 4 Pa 3.09
Ge2 0.2500 0.2500 0.7500  4 Gd 3.09, 4 Pa 3.09
Ge3 0.2500 0.7500 0.2500  4 Gd 3.09, 4 Pa 3.09
Ge4 0.2500 0.7500 0.7500  4 Gd 3.09, 4 Pa 3.09
Ge5 0.7500 0.2500 0.2500  4 Gd 3.09, 4 Pa 3.09
Ge6 0.7500 0.2500 0.7500  4 Gd 3.09, 4 Pa 3.09
Ge7 0.7500 0.7500 0.2500  4 Gd 3.09, 4 Pa 3.09
Ge8 0.7500 0.7500 0.7500  4 Gd 3.09, 4 Pa 3.09

Computed properties:
**Excess energy over the best structure of this formula in the dataset**: 0.177 eV per atom
**Formation energy from the elements**: -0.437 eV per atom

---

A geometry-optimized GdPuPaGe structure, computed with GGA-PBE.

Cell: 7.2235 7.2235 7.2235 Å, 90.00 90.00 90.00°
With the nearest neighbours (Å) after each atom.
Atoms (fractional coordinates):
Gd1 0.0000 0.0000 0.0000  4 Ge 3.13, 4 Pa 3.13
Gd2 0.0000 0.5000 0.5000  4 Ge 3.13, 4 Pa 3.13
Gd3 0.5000 0.0000 0.5000  4 Ge 3.13, 4 Pa 3.13
Gd4 0.5000 0.5000 0.0000  4 Ge 3.13, 4 Pa 3.13
Pu1 0.0000 0.0000 0.5000  4 Ge 3.13, 4 Pa 3.13
Pu2 0.0000 0.5000 0.0000  4 Ge 3.13, 4 Pa 3.13
Pu3 0.5000 0.0000 0.0000  4 Ge 3.13, 4 Pa 3.13
Pu4 0.5000 0.5000 0.5000  4 Ge 3.13, 4 Pa 3.13
Pa1 0.2500 0.2500 0.7500  4 Gd 3.13, 4 Pu 3.13
Pa2 0.2500 0.7500 0.2500  4 Gd 3.13, 4 Pu 3.13
Pa3 0.7500 0.2500 0.2500  4 Gd 3.13, 4 Pu 3.13
Pa4 0.7500 0.7500 0.7500  4 Pu 3.13, 4 Gd 3.13
Ge1 0.2500 0.2500 0.2500  4 Gd 3.13, 4 Pu 3.13
Ge2 0.2500 0.7500 0.7500  4 Gd 3.13, 4 Pu 3.13
Ge3 0.7500 0.2500 0.7500  4 Gd 3.13, 4 Pu 3.13
Ge4 0.7500 0.7500 0.2500  4 Gd 3.13, 4 Pu 3.13

Computed properties:
**Formation energy from the elements**: 0.011 eV per atom

---

A geometry-optimized GdPaTcGe structure, computed with GGA-PBE.

Cell: 7.0206 7.0206 7.0206 Å, 90.00 90.00 90.00°
With the nearest neighbours (Å) after each atom.
Atoms (fractional coordinates):
Gd1 0.0000 0.0000 0.0000  4 Ge 3.04, 4 Tc 3.04
Gd2 0.0000 0.5000 0.5000  4 Ge 3.04, 4 Tc 3.04
Gd3 0.5000 0.0000 0.5000  4 Ge 3.04, 4 Tc 3.04
Gd4 0.5000 0.5000 0.0000  4 Ge 3.04, 4 Tc 3.04
Pa1 0.0000 0.0000 0.5000  4 Ge 3.04, 4 Tc 3.04
Pa2 0.0000 0.5000 0.0000  4 Ge 3.04, 4 Tc 3.04
Pa3 0.5000 0.0000 0.0000  4 Ge 3.04, 4 Tc 3.04
Pa4 0.5000 0.5000 0.5000  4 Ge 3.04, 4 Tc 3.04
Tc1 0.2500 0.2500 0.2500  4 Gd 3.04, 4 Pa 3.04
Tc2 0.2500 0.7500 0.7500  4 Gd 3.04, 4 Pa 3.04
Tc3 0.7500 0.2500 0.7500  4 Gd 3.04, 4 Pa 3.04
Tc4 0.7500 0.7500 0.2500  4 Gd 3.04, 4 Pa 3.04
Ge1 0.2500 0.2500 0.7500  4 Gd 3.04, 4 Pa 3.04
Ge2 0.2500 0.7500 0.2500  4 Gd 3.04, 4 Pa 3.04
Ge3 0.7500 0.2500 0.2500  4 Gd 3.04, 4 Pa 3.04
Ge4 0.7500 0.7500 0.7500  4 Gd 3.04, 4 Pa 3.04

Computed properties:
**Formation energy from the elements**: -0.147 eV per atom

---

A geometry-optimized GdGePb structure, computed with GGA-PBE.

Cell: 4.6508 4.6508 4.3713 Å, 90.00 90.00 120.00°
With the nearest neighbours (Å) after each atom.
Atoms (fractional coordinates):
Gd1 0.0000 0.0000 0.0000  3 Ge 2.98, 3 Pb 3.30
Ge1 0.3333 0.6667 0.7031  3 Pb 2.92, 3 Gd 2.98
Pb1 0.6667 0.3333 0.4380  3 Ge 2.92

Computed properties:
**Formation energy from the elements**: -0.275 eV per atom

---

A geometry-optimized GdGe2Pd structure, computed with GGA-PBE.

Cell: 4.2662 4.2662 4.2317 Å, 90.00 90.00 90.00°
With the nearest neighbours (Å) after each atom.
Atoms (fractional coordinates):
Gd1 0.0000 0.0000 0.0000  8 Ge 3.00, 4 Pd 3.02
Ge1 0.0000 0.5000 0.5000  4 Pd 3.00, 4 Gd 3.00, 4 Ge 3.02
Ge2 0.5000 0.0000 0.5000  4 Pd 3.00, 4 Gd 3.00, 4 Ge 3.02
Pd1 0.5000 0.5000 0.0000  8 Ge 3.00, 4 Gd 3.02

Computed properties:
**Formation energy from the elements**: -0.571 eV per atom

---

A geometry-optimized GdGe2Pd2 structure, computed with GGA-PBE.

Cell: 5.9277 5.9249 4.3000 Å, 68.76 68.69 42.54°
With the nearest neighbours (Å) after each atom.
Atoms (fractional coordinates):
Gd1 0.0000 0.0000 0.0000  8 Ge 3.28, 8 Pd 3.33
Ge1 0.3792 0.3792 0.6208  1 Ge 2.46, 4 Pd 2.52
Ge2 0.6208 0.6208 0.3792  1 Ge 2.46, 4 Pd 2.52
Pd1 0.2500 0.2500 0.2500  4 Ge 2.52
Pd2 0.7500 0.7500 0.7500  4 Ge 2.52

Computed properties:
**Formation energy from the elements**: -0.807 eV per atom

---

A geometry-optimized GdGePd structure, computed with GGA-PBE.

Cell: 4.4747 4.4747 3.5263 Å, 90.00 90.00 120.00°
With the nearest neighbours (Å) after each atom.
Atoms (fractional coordinates):
Gd1 0.0000 0.0000 0.0000  6 Ge 3.13, 6 Pd 3.13
Ge1 0.6667 0.3333 0.5000  3 Pd 2.58
Pd1 0.3333 0.6667 0.5000  3 Ge 2.58

Computed properties:
**Formation energy from the elements**: -0.950 eV per atom

---

A geometry-optimized GdGePd structure, computed with GGA-PBE.

Cell: 3.8410 3.8410 8.6801 Å, 90.00 90.00 90.00°
With the nearest neighbours (Å) after each atom.
Atoms (fractional coordinates):
Gd1 0.0000 0.0000 0.0000  5 Ge 2.86-3.09, 5 Pd 3.00-3.07
Gd2 0.5000 0.5000 0.5000  5 Ge 2.86-3.09, 5 Pd 3.00-3.07
Ge1 0.0000 0.0000 0.3299  1 Pd 2.74, 1 Gd 2.86
Ge2 0.5000 0.5000 0.8299  1 Pd 2.74, 1 Gd 2.86
Pd1 0.0000 0.0000 0.6458  1 Ge 2.74, 4 Gd 3.00
Pd2 0.5000 0.5000 0.1458  1 Ge 2.74, 4 Gd 3.00

Computed properties:
**Formation energy from the elements**: -0.558 eV per atom

---

A geometry-optimized GdGe2Pd structure, computed with GGA-PBE.

Cell: 3.2246 3.2246 28.8923 Å, 90.00 90.00 120.00°
With the nearest neighbours (Å) after each atom.
Atoms (fractional coordinates):
Gd1 0.0000 0.0000 0.0000  2 Ge 2.94, 6 Gd 3.22
Gd2 0.3333 0.6667 0.6667  2 Ge 2.94, 6 Gd 3.22
Gd3 0.6667 0.3333 0.3333  2 Ge 2.94, 6 Gd 3.22
Ge1 0.0000 0.0000 0.1018  3 Pd 2.64, 1 Gd 2.94
Ge2 0.0000 0.0000 0.8982  3 Pd 2.64, 1 Gd 2.94
Ge3 0.3333 0.6667 0.5649  3 Pd 2.64, 1 Gd 2.94
Ge4 0.3333 0.6667 0.7684  3 Pd 2.64, 1 Gd 2.94
Ge5 0.6667 0.3333 0.2316  3 Pd 2.64, 1 Gd 2.94
Ge6 0.6667 0.3333 0.4351  3 Pd 2.64, 1 Gd 2.94
Pd1 0.0000 0.0000 0.5000  6 Ge 2.64
Pd2 0.3333 0.6667 0.1667  6 Ge 2.64
Pd3 0.6667 0.3333 0.8333  6 Ge 2.64

Computed properties:
**Formation energy from the elements**: -0.035 eV per atom

---

A geometry-optimized Gd2GePd structure, computed with GGA-PBE.

Cell: 3.5308 3.5308 7.3212 Å, 90.00 90.00 90.00°
With the nearest neighbours (Å) after each atom.
Atoms (fractional coordinates):
Gd1 0.0000 0.0000 0.2467  4 Pd 3.08, 4 Ge 3.11
Gd2 0.0000 0.0000 0.7533  4 Pd 3.08, 4 Ge 3.11
Ge1 0.5000 0.5000 0.5000  8 Gd 3.11
Pd1 0.5000 0.5000 0.0000  8 Gd 3.08

Computed properties:
**Formation energy from the elements**: -0.771 eV per atom

---

no.,magnetization (Bohr magnetons per cell)
1,6.72
2,7.28
3,32.59
4,56.36
5,27.59
6,7.02
7,6.99
8,7.06
9,6.99
10,14.09
11,22.04
12,14.08